[1]
YB4Mo: relaxed, PBE-GGA.

Values from the calculation:
V (Å³ per cell): 255.7
DFT total energy (eV per atom): -7.956
M_tot (μB per cell): 0.0
Space-group type: Pbam

abc: 3.6270 6.0424 11.6691
angles: 90.00 90.00 90.00
Element x y z (fractional)
B 0.5000 0.6139 0.9526
Mo 0.0000 0.6297 0.0835
Y 0.0000 0.1269 0.1498
B 0.5000 0.1139 0.5474
B 0.5000 0.7867 0.1861
B 0.5000 0.3861 0.0474
B 0.5000 0.0237 0.6935
Y 0.0000 0.6269 0.3502
Y 0.0000 0.3731 0.6498
Mo 0.0000 0.8703 0.5835
Y 0.0000 0.8731 0.8502
B 0.5000 0.8861 0.4526
B 0.5000 0.4763 0.1935
B 0.5000 0.6335 0.5319
Mo 0.0000 0.1297 0.4165
B 0.5000 0.1335 0.9681
B 0.5000 0.9763 0.3065
B 0.5000 0.2867 0.3139
B 0.5000 0.7133 0.6861
B 0.5000 0.5237 0.8065
B 0.5000 0.8665 0.0319
B 0.5000 0.3665 0.4681
B 0.5000 0.2133 0.8139
Mo 0.0000 0.3703 0.9165

---

[2]
YB2Mo: relaxed, PBE-GGA.

Values from the calculation:
Relative energy among the computed polymorphs (meV/atom): 0
V (Å³ per cell): 53.6
DFT total energy (eV per atom): -8.048
M_tot (μB per cell): 0.0
Space-group type: Amm2

abc: 5.3832 5.3832 3.1386
angles: 90.00 90.00 143.87
Element x y z (fractional)
Y 0.8428 0.1572 0.0000
Mo 0.1215 0.8785 0.5000
B 0.5588 0.4412 0.0000
B 0.4770 0.5230 0.5000

---

[3]
YB7Mo3: relaxed, PBE-GGA.

Values from the calculation:
V (Å³ per cell): 443.7
DFT total energy (eV per atom): -8.352
M_tot (μB per cell): 0.0
Space-group type: Pnma

abc: 3.1095 11.0605 12.9016
angles: 90.00 90.00 90.00
Element x y z (fractional)
B 0.2500 0.4895 0.3630
B 0.2500 0.2502 0.8266
Mo 0.2500 0.6181 0.5269
B 0.7500 0.0105 0.8630
B 0.7500 0.7498 0.1734
B 0.7500 0.1861 0.5668
B 0.2500 0.3340 0.3331
B 0.7500 0.7307 0.4183
B 0.7500 0.1660 0.8331
B 0.7500 0.6660 0.6669
Mo 0.2500 0.6598 0.0643
B 0.2500 0.9626 0.4820
B 0.7500 0.6861 0.9332
Mo 0.7500 0.8819 0.0269
B 0.2500 0.7693 0.9183
B 0.7500 0.0676 0.1154
B 0.2500 0.8340 0.1669
Mo 0.2500 0.1598 0.4357
B 0.2500 0.4626 0.0180
Mo 0.7500 0.3157 0.7018
B 0.2500 0.3139 0.0668
Mo 0.2500 0.6843 0.2982
B 0.2500 0.9895 0.1370
B 0.7500 0.5676 0.3846
B 0.7500 0.5105 0.6370
B 0.7500 0.0374 0.5180
B 0.7500 0.2307 0.0817
Mo 0.7500 0.8402 0.5643
B 0.2500 0.4324 0.6154
B 0.2500 0.2693 0.5817
Mo 0.7500 0.3402 0.9357
B 0.7500 0.5374 0.9820
B 0.2500 0.9324 0.8846
Y 0.7500 0.9488 0.3080
Y 0.7500 0.4488 0.1920
Mo 0.7500 0.8157 0.7982
Y 0.2500 0.5512 0.8080
Mo 0.2500 0.1181 0.9731
B 0.7500 0.2498 0.3266
B 0.2500 0.7502 0.6734
Y 0.2500 0.0512 0.6920
Mo 0.7500 0.3819 0.4731
B 0.2500 0.8139 0.4332
Mo 0.2500 0.1843 0.2018

---

[4]
YB2Mo: relaxed, PBE-GGA.

Values from the calculation:
Relative energy among the computed polymorphs (meV/atom): 279
V (Å³ per cell): 56.5
DFT total energy (eV per atom): -7.769
M_tot (μB per cell): 0.0
Space-group type: R-3m

abc: 3.3893 3.3893 6.0030
angles: 73.60 73.60 60.00
Element x y z (fractional)
Mo 0.0000 0.0000 0.0000
B 0.2670 0.2670 0.1991
B 0.7330 0.7330 0.8009
Y 0.5000 0.5000 0.5000

---

[5]
Y3BMo: relaxed, PBE-GGA.

Values from the calculation:
Relative energy among the computed polymorphs (meV/atom): 0
V (Å³ per cell): 125.2
DFT total energy (eV per atom): -6.883
M_tot (μB per cell): 3.2
Space-group type: Pm-3m

abc: 5.0020 5.0020 5.0020
angles: 90.00 90.00 90.00
Site moments in Bohr magnetons follow the coordinates.
Element x y z (fractional)
Y 0.0000 0.5000 0.0000  0.02
B 0.0000 0.0000 0.0000  0.10
Y 0.5000 0.0000 0.0000  -0.06
Y 0.0000 0.0000 0.5000  0.04
Mo 0.5000 0.5000 0.5000  2.44

---

[6]
YBMo2: relaxed, PBE-GGA.

Values from the calculation:
V (Å³ per cell): 174.9
DFT total energy (eV per atom): -7.791
M_tot (μB per cell): 0.0
Space-group type: I4_1/amd

abc: 5.7856 5.7856 6.6359
angles: 64.16 64.16 90.00
Element x y z (fractional)
Mo 0.8750 0.6250 0.7500
B 0.2500 0.7500 0.5000
Mo 0.3750 0.1250 0.2500
B 0.5000 0.5000 0.0000
Y 0.7500 0.2500 0.5000
Mo 0.3750 0.6250 0.2500
Y 0.0000 0.0000 0.0000
Mo 0.3750 0.6250 0.7500

---

[7]
YZn2BMo: relaxed, PBE-GGA.

Values from the calculation:
V (Å³ per cell): 85.7
DFT total energy (eV per atom): -4.691
M_tot (μB per cell): 2.2
Space-group type: P4/mmm

abc: 4.1719 4.9260 4.1719
angles: 90.00 90.00 90.00
Site moments in Bohr magnetons follow the coordinates.
Element x y z (fractional)
Mo 0.5000 0.5000 0.5000  1.90
B 0.0000 0.0000 0.0000  0.04
Zn 0.0000 0.0000 0.5000  0.01
Y 0.0000 0.5000 0.0000  -0.03
Zn 0.5000 0.0000 0.0000  0.00

---

[8]
Zn2BMo: relaxed, PBE-GGA.

Values from the calculation:
V (Å³ per cell): 105.2
DFT total energy (eV per atom): -4.579
M_tot (μB per cell): 0.0
Space-group type: I-42d

abc: 6.7743 6.7743 5.3102
angles: 50.37 50.37 90.00
Element x y z (fractional)
Zn 0.1923 0.6250 0.2500
Zn 0.5577 0.1250 0.2500
Mo 0.0000 0.0000 0.0000
B 0.5000 0.5000 0.0000
Zn 0.8750 0.8077 0.7500
B 0.2500 0.7500 0.5000
Zn 0.3750 0.4423 0.7500
Mo 0.7500 0.2500 0.5000

---

[9]
Zn3BMo: relaxed, PBE-GGA.

Values from the calculation:
Relative energy among the computed polymorphs (meV/atom): 0
V (Å³ per cell): 69.7
DFT total energy (eV per atom): -3.501
M_tot (μB per cell): 1.7
Space-group type: Pm-3m

abc: 4.1153 4.1153 4.1153
angles: 90.00 90.00 90.00
Site moments in Bohr magnetons follow the coordinates.
Element x y z (fractional)
B 0.0000 0.0000 0.0000  0.08
Zn 0.5000 0.0000 0.0000  -0.01
Mo 0.5000 0.5000 0.5000  1.51
Zn 0.0000 0.0000 0.5000  0.00
Zn 0.0000 0.5000 0.0000  -0.01

---

[10]
Zn3BMo: relaxed, PBE-GGA.

Values from the calculation:
Relative energy among the computed polymorphs (meV/atom): 1121
V (Å³ per cell): 121.3
DFT total energy (eV per atom): -2.381
M_tot (μB per cell): 1.6
Space-group type: Pm-3m

abc: 4.9504 4.9504 4.9504
angles: 90.00 90.00 90.00
Site moments in Bohr magnetons follow the coordinates.
Element x y z (fractional)
Zn 0.0000 0.5000 0.0000  0.05
B 0.5000 0.5000 0.5000  -0.10
Mo 0.0000 0.0000 0.0000  1.41
Zn 0.0000 0.0000 0.5000  0.04
Zn 0.5000 0.0000 0.0000  0.04

---

[11]
ZnB2Mo: relaxed, PBE-GGA.

Values from the calculation:
V (Å³ per cell): 89.7
DFT total energy (eV per atom): -5.690
M_tot (μB per cell): 0.0
Space-group type: I-42d

abc: 5.8106 5.8106 4.8921
angles: 53.57 53.57 90.00
Element x y z (fractional)
Mo 0.7500 0.2500 0.5000
Zn 0.2500 0.7500 0.5000
B 0.1379 0.6250 0.2500
Zn 0.5000 0.5000 0.0000
B 0.3750 0.3879 0.7500
B 0.6121 0.1250 0.2500
Mo 0.0000 0.0000 0.0000
B 0.8750 0.8621 0.7500

---

[12]
ZnB3Mo: relaxed, PBE-GGA.

Values from the calculation:
Relative energy among the computed polymorphs (meV/atom): 572
V (Å³ per cell): 57.6
DFT total energy (eV per atom): -4.482
M_tot (μB per cell): 1.6
Space-group type: Pm-3m

abc: 3.8611 3.8611 3.8611
angles: 90.00 90.00 90.00
Site moments in Bohr magnetons follow the coordinates.
Element x y z (fractional)
B 0.0000 0.0000 0.5000  0.00
Mo 0.5000 0.5000 0.5000  1.43
B 0.5000 0.0000 0.0000  -0.02
B 0.0000 0.5000 0.0000  0.00
Zn 0.0000 0.0000 0.0000  0.02

---

Ordered D(E_F) results: 0.40, 2.60, 10.95, 1.79, 6.90, 5.63, 4.66, 4.42, 4.12, 4.20, 1.87, 3.87; unit states/eV per cell.